No. 1
The following is a DFT calculation (GGA-PBE) of La4Te2N after structural relaxation.

Geometry as extended XYZ:
```
7
Lattice="-0.191 -4.673 1.444 4.404 -0.793 -1.983 5.787 -0.619 7.059" Properties=species:S:1:pos:R:3 pbc="T T T"
N 0.000 0.000 0.000
Te 3.152 -2.133 1.812
Te 6.848 -3.953 4.708
La 4.588 -1.308 4.671
La 5.412 -4.777 1.849
La 2.202 -0.397 -0.992
La -0.096 -2.336 0.722
```

## Properties
Energy relative to the lowest polymorph listed for this composition in meV per atom: 0
Space-group type: I4/mmm (139)
Magnetic moment in μB/f.u.: 0.00
Volume in Å³ per cell: 203

No. 2
The following is a DFT calculation (GGA-PBE) of La2TeN after structural relaxation.

Geometry as extended XYZ:
```
4
Lattice="3.371 -3.760 -1.069 -1.552 -4.207 -2.557 1.542 -0.778 -4.865" Properties=species:S:1:pos:R:3 pbc="T T T"
N 0.000 0.000 0.000
Te 1.680 -4.373 -4.245
La 0.840 -2.186 -2.123
La 2.521 -6.559 -6.368
```

## Properties
Energy relative to the lowest polymorph listed for this composition in meV per atom: 934
Space-group type: Fm-3m (225)
Magnetic moment in μB/f.u.: 0.00
Volume in Å³ per cell: 97

No. 3
The following is a DFT calculation (GGA-PBE) of LaTe2N after structural relaxation.

Geometry as extended XYZ:
```
8
Lattice="-5.119 8.477 0.074 -5.849 -3.470 -7.199 -7.033 1.553 -1.845" Properties=species:S:1:pos:R:3 pbc="T T T"
N -5.484 2.504 -3.562
N -9.183 0.293 -6.303
Te -4.409 3.133 -1.333
Te -7.334 1.398 -4.933
Te -10.850 2.175 -5.855
Te -13.410 6.413 -5.819
La 0.000 0.000 0.000
La -8.819 6.267 -2.667
```

## Properties
Space-group type: I4_1/amd (141)
Magnetic moment in μB/f.u.: 0.00
Volume in Å³ per cell: 245

No. 4
The following is a DFT calculation (GGA-PBE) of LaTeN3 after structural relaxation.

Geometry as extended XYZ:
```
5
Lattice="-0.815 -1.184 4.143 4.301 -0.477 0.710 0.260 4.195 1.250" Properties=species:S:1:pos:R:3 pbc="T T T"
N 2.150 -0.239 0.355
N 0.130 2.097 0.625
N -0.408 -0.592 2.071
Te 1.873 1.267 3.051
La 0.000 0.000 0.000
```

## Properties
Space-group type: Pm-3m (221)
Magnetic moment in μB/f.u.: 0.00
Volume in Å³ per cell: 84

No. 5
The following is a DFT calculation (GGA-PBE) of La6Te5N after structural relaxation.

Geometry as extended XYZ:
```
12
Lattice="7.648 0.228 0.000 2.365 7.418 0.000 1.182 3.709 6.679" Properties=species:S:1:pos:R:3 pbc="T T T"
La 6.523 1.745 1.900
La 3.490 5.901 1.900
La 2.292 1.621 0.000
La 7.720 6.025 0.000
La 7.705 5.454 4.779
La 4.672 9.610 4.779
Te 5.006 3.823 4.234
Te 1.182 3.709 2.183
Te 5.006 3.823 0.000
Te 2.365 7.418 4.496
Te 6.189 7.532 2.445
N 0.000 0.000 0.000
```

## Properties
Space-group type: C2/m (12)
Magnetic moment in μB/f.u.: 0.00
Volume in Å³ per cell: 375

No. 6
The following is a DFT calculation (GGA-PBE) of La2TeN after structural relaxation.

Geometry as extended XYZ:
```
4
Lattice="3.987 0.000 0.000 1.994 3.453 0.000 1.994 1.151 7.337" Properties=species:S:1:pos:R:3 pbc="T T T"
N 0.000 0.000 0.000
Te 3.987 2.302 3.668
La 5.981 3.453 5.951
La 1.994 1.151 1.386
```

## Properties
Energy relative to the lowest polymorph listed for this composition in meV per atom: 81
Space-group type: R-3m (166)
Magnetic moment in μB/f.u.: 0.00
Volume in Å³ per cell: 101

No. 7
The following is a DFT calculation (GGA-PBE) of LaTeN2 after structural relaxation.

Geometry as extended XYZ:
```
8
Lattice="-4.725 -1.441 1.307 1.894 -4.191 2.225 -0.875 0.275 7.129" Properties=species:S:1:pos:R:3 pbc="T T T"
N -2.817 -1.320 2.845
N 0.257 -2.767 3.369
N -1.670 -2.010 6.726
N -3.180 -4.618 8.382
Te -1.415 -2.816 1.766
Te -0.198 -3.366 5.560
La 0.000 0.000 0.000
La -3.507 -1.991 5.101
```

## Properties
Space-group type: I-42d (122)
Magnetic moment in μB/f.u.: 0.00
Volume in Å³ per cell: 162

No. 8
The following is a DFT calculation (GGA-PBE) of La2TeN after structural relaxation.

Geometry as extended XYZ:
```
8
Lattice="7.378 0.000 0.000 0.000 7.378 0.000 3.689 3.689 4.091" Properties=species:S:1:pos:R:3 pbc="T T T"
N 3.689 3.689 0.000
N 3.689 7.378 2.045
Te 0.000 0.000 0.000
Te 7.378 3.689 2.045
La 4.769 1.845 1.023
La 2.609 5.534 1.023
La 5.534 6.298 3.068
La 9.223 8.458 3.068
```

## Properties
Energy relative to the lowest polymorph listed for this composition in meV per atom: 120
Space-group type: I-42d (122)
Magnetic moment in μB/f.u.: 0.00
Volume in Å³ per cell: 223

No. 9
The following is a DFT calculation (GGA-PBE) of La2TeN after structural relaxation.

Geometry as extended XYZ:
```
4
Lattice="-2.786 -1.997 -2.005 -0.584 -3.861 0.723 -6.112 -0.223 4.783" Properties=species:S:1:pos:R:3 pbc="T T T"
La -5.194 -0.541 3.824
La -2.071 -1.624 0.562
Te -4.750 -3.037 1.759
N -8.321 -4.141 3.889
```

## Properties
Energy relative to the lowest polymorph listed for this composition in meV per atom: 113
Space-group type: R3m (160)
Magnetic moment in μB/f.u.: 0.50
Volume in Å³ per cell: 101

No. 10
The following is a DFT calculation (GGA-PBE) of La5Te2N after structural relaxation.

Geometry as extended XYZ:
```
16
Lattice="6.054 0.000 0.000 -3.027 5.990 0.000 0.000 0.000 14.562" Properties=species:S:1:pos:R:3 pbc="T T T"
La 3.027 5.169 12.455
La 3.027 5.169 9.388
La 0.000 4.389 5.469
La 0.000 4.389 1.812
La 3.027 2.584 3.640
La 0.000 3.406 10.921
La 3.027 1.601 9.092
La 3.027 1.601 12.750
La 0.000 0.821 2.107
La 0.000 0.821 5.174
Te 3.027 3.839 6.534
Te 3.027 3.839 0.746
Te 0.000 2.151 8.027
Te 0.000 2.151 13.815
N 3.027 3.157 10.921
N 0.000 2.833 3.640
```

## Properties
Space-group type: Cmcm (63)
Magnetic moment in μB/f.u.: 0.03
Volume in Å³ per cell: 528

No. 11
The following is a DFT calculation (GGA-PBE) of La2TeN2 after structural relaxation.

Geometry as extended XYZ:
```
5
Lattice="-1.894 -0.368 3.620 -3.115 -1.945 -1.828 0.745 -7.364 1.965" Properties=species:S:1:pos:R:3 pbc="T T T"
N -1.827 -4.445 3.240
N -2.437 -5.233 0.516
Te 0.000 0.000 0.000
La -1.446 -3.180 1.244
La -2.819 -6.498 2.512
```

## Properties
Space-group type: I4/mmm (139)
Magnetic moment in μB/f.u.: 0.00
Volume in Å³ per cell: 119

No. 12
The following is a DFT calculation (GGA-PBE) of La2TeN2 after structural relaxation.

Geometry as extended XYZ:
```
10
Lattice="4.376 0.000 0.000 0.000 6.898 0.272 -2.188 -1.587 7.260" Properties=species:S:1:pos:R:3 pbc="T T T"
La 3.164 0.549 2.280
La 1.212 3.999 2.416
La -0.976 4.762 5.252
La 0.976 1.313 5.116
Te 3.391 5.174 0.204
Te 0.985 1.725 0.068
N 2.754 2.369 4.105
N 0.566 -0.507 3.290
N -0.566 2.943 3.426
N 1.621 5.818 4.241
```

## Properties
Space-group type: C2/c (15)
Magnetic moment in μB/f.u.: 0.00
Volume in Å³ per cell: 221

No. 13
The following is a DFT calculation (GGA-PBE) of La6Te5N2 after structural relaxation.

Geometry as extended XYZ:
```
26
Lattice="-0.257 1.297 -3.976 -7.738 -9.424 -2.575 -11.810 8.712 3.605" Properties=species:S:1:pos:R:3 pbc="T T T"
La -5.988 1.806 0.976
La -13.559 -2.518 0.054
La -6.456 -5.415 -1.350
La -13.091 4.703 2.379
La -4.954 -0.680 -2.110
La -14.850 1.265 -0.836
La -10.075 -4.468 -3.015
La -9.728 5.053 0.069
La -8.073 -1.194 0.132
La -11.474 0.482 0.898
La -9.012 -8.067 -2.050
La -10.535 7.355 3.080
Te -8.693 1.909 -1.024
Te -11.111 -1.324 -1.922
Te -18.319 1.445 -0.554
Te -1.485 -0.860 -2.392
Te -7.471 -2.666 -2.595
Te -12.333 3.251 -0.351
Te -3.751 2.155 -1.262
Te -16.053 -1.570 -1.684
Te -3.997 -4.063 -3.275
Te -6.033 5.004 -0.185
N -5.864 -0.585 0.188
N -13.684 -0.127 0.842
N -8.932 -5.887 -1.344
N -10.615 5.175 2.374
```

## Properties
Space-group type: Pbam (55)
Magnetic moment in μB/f.u.: 0.00
Volume in Å³ per cell: 789

No. 14
The following is a DFT calculation (GGA-PBE) of LaTeN3 after structural relaxation.

Geometry as extended XYZ:
```
5
Lattice="4.043 0.000 0.000 0.000 4.043 0.000 0.000 0.000 4.043" Properties=species:S:1:pos:R:3 pbc="T T T"
N 0.000 2.021 0.000
N 0.000 0.000 2.021
N 2.021 0.000 0.000
Te 0.000 0.000 0.000
La 2.021 2.021 2.021
```

## Properties
Space-group type: Pm-3m (221)
Magnetic moment in μB/f.u.: 0.00
Volume in Å³ per cell: 66

No. 15
The following is a DFT calculation (GGA-PBE) of La12Te3N5 after structural relaxation.

Geometry as extended XYZ:
```
80
Lattice="-7.731 -11.583 3.386 8.514 -3.024 -11.126 8.015 3.848 11.241" Properties=species:S:1:pos:R:3 pbc="T T T"
Te -1.604 -9.340 -0.227
Te 0.622 -11.922 -3.976
Te 8.495 -4.207 -0.049
Te 2.137 -1.831 3.671
Te -3.697 -9.551 4.383
Te 4.425 -5.272 -2.873
Te 4.372 -5.487 6.375
Te 12.494 -1.208 -0.881
Te 6.660 -8.928 -0.169
Te 0.302 -6.552 3.550
Te 8.175 1.163 7.478
Te 10.401 -1.419 3.729
N 4.230 -1.620 -0.939
N 4.257 -1.512 -5.563
N 0.000 0.000 0.000
N 0.231 -4.619 -0.106
N 0.142 -3.867 7.314
N 0.391 -7.303 -3.870
N 8.424 -2.273 -3.705
N 2.279 -5.698 10.985
N 2.528 -9.134 -0.198
N 4.176 -1.836 8.310
N 4.621 -8.923 -4.808
N 4.399 -5.379 1.751
N -3.866 -5.792 1.693
N 4.007 1.924 5.621
N 6.269 -1.625 3.700
N 6.518 -5.061 -7.483
N 8.264 0.412 0.058
N 0.373 -8.486 7.207
N 8.566 -6.140 3.608
N 4.567 -9.139 4.440
La -4.374 -8.358 1.255
La 5.129 -3.632 -0.107
La -1.894 -11.481 2.418
La -1.395 -6.080 0.770
La 6.891 -6.265 1.957
La -1.058 -12.563 -1.219
La 7.727 -4.474 -3.238
La 7.880 -3.490 -8.592
La 9.297 -7.294 -1.270
La 1.109 -9.124 -2.079
La 1.091 -9.287 1.662
La 1.458 -12.109 -7.154
La 9.171 -1.408 -1.645
La 1.089 -5.403 -2.155
La 10.127 -2.229 -5.333
La 2.541 -2.806 6.920
La 2.487 -0.817 0.428
La 2.851 -7.370 -4.861
La 3.915 -11.016 -3.988
La 3.466 -2.131 -3.108
La 11.849 -4.428 -0.658
La 3.862 -7.195 -0.107
La 4.050 -10.931 -0.269
La 3.773 -6.744 9.494
La 4.935 -3.564 3.609
La 4.747 0.172 3.771
La 5.024 -4.015 -5.992
La 4.882 0.257 7.490
La -3.052 -6.331 4.160
La 5.331 -8.627 6.609
La 5.946 -3.389 8.363
La 6.256 -7.952 -3.418
La 6.310 -9.941 3.074
La -1.330 -8.530 8.835
La -0.374 -9.350 5.147
La 7.339 1.350 10.656
La 7.708 -5.356 5.657
La -0.500 -3.465 4.771
La 7.688 -1.635 5.580
La 7.706 -1.472 1.840
La 0.917 -7.269 12.094
La 1.070 -6.285 6.740
La 10.192 -4.679 2.732
La 9.855 1.804 4.721
La 1.906 -4.494 1.545
La 10.691 0.722 1.083
La 3.668 -7.127 3.609
La 13.171 -2.401 2.247
```

## Properties
Space-group type: Ia-3d (230)
Magnetic moment in μB/f.u.: 2.16
Volume in Å³ per cell: 2266

No. 16
The following is a DFT calculation (GGA-PBE) of LaTe3N after structural relaxation.

Geometry as extended XYZ:
```
5
Lattice="-4.447 2.119 -0.163 -1.641 -3.183 3.386 1.350 3.110 3.578" Properties=species:S:1:pos:R:3 pbc="T T T"
N 0.000 0.000 0.000
Te -0.820 -1.592 1.693
Te 0.675 1.555 1.789
Te -2.224 1.059 -0.082
La -2.369 1.023 3.400
```

## Properties
Energy relative to the lowest polymorph listed for this composition in meV per atom: 0
Space-group type: Pm-3m (221)
Magnetic moment in μB/f.u.: 0.00
Volume in Å³ per cell: 120

No. 17
The following is a DFT calculation (GGA-PBE) of La2TeN after structural relaxation.

Geometry as extended XYZ:
```
16
Lattice="-7.129 2.381 1.036 -2.509 -6.276 -2.846 -0.865 -3.089 7.575" Properties=species:S:1:pos:R:3 pbc="T T T"
La -5.696 -3.614 0.044
La -2.457 -5.618 -0.843
La -7.103 -1.684 3.072
La -8.047 -1.366 6.608
La -3.401 -5.300 2.692
La -7.545 -5.557 2.554
La -4.808 -3.370 5.721
La -2.959 -1.427 3.211
Te -2.410 -2.477 0.252
Te -5.223 -7.431 4.208
Te -5.281 0.447 1.557
Te -8.094 -4.506 5.512
N -6.014 -1.486 5.180
N -2.801 -3.556 4.263
N -4.490 -5.498 0.585
N -7.703 -3.427 1.502
```

## Properties
Energy relative to the lowest polymorph listed for this composition in meV per atom: 80
Space-group type: P2_1/c (14)
Magnetic moment in μB/f.u.: 0.00
Volume in Å³ per cell: 455

No. 18
The following is a DFT calculation (GGA-PBE) of La2Te2N after structural relaxation.

Geometry as extended XYZ:
```
10
Lattice="6.300 0.000 0.000 0.000 7.089 0.000 -3.150 -3.545 6.521" Properties=species:S:1:pos:R:3 pbc="T T T"
La 0.000 1.303 5.288
La 3.150 2.242 1.234
La 0.000 4.847 1.234
La 3.150 -1.303 5.288
Te 3.150 2.441 4.580
Te 0.000 1.103 1.941
Te 3.150 5.986 1.941
Te 0.000 -2.441 4.580
N 4.725 3.545 0.000
N 1.575 3.545 0.000
```

## Properties
Space-group type: Ibam (72)
Magnetic moment in μB/f.u.: 0.00
Volume in Å³ per cell: 291

No. 19
The following is a DFT calculation (GGA-PBE) of LaTeN2 after structural relaxation.

Geometry as extended XYZ:
```
4
Lattice="-1.244 5.434 4.748 1.496 6.567 2.873 -1.759 6.923 1.613" Properties=species:S:1:pos:R:3 pbc="T T T"
N -1.337 16.798 8.197
N -0.169 2.127 1.038
Te -0.753 9.462 4.617
La 0.000 0.000 0.000
```

## Properties
Space-group type: R-3m (166)
Magnetic moment in μB/f.u.: 0.00
Volume in Å³ per cell: 75

No. 20
The following is a DFT calculation (GGA-PBE) of LaTe2N after structural relaxation.

Geometry as extended XYZ:
```
4
Lattice="-7.243 2.036 4.113 -5.974 -0.675 6.114 -4.743 2.670 6.626" Properties=species:S:1:pos:R:3 pbc="T T T"
N -8.980 2.015 8.427
Te -13.875 3.114 13.020
Te -4.085 0.917 3.833
La 0.000 0.000 0.000
```

## Properties
Space-group type: R-3m (166)
Magnetic moment in μB/f.u.: 0.00
Volume in Å³ per cell: 93

Formation energy (no corrections) across the listed records, respectively: -1.2097 -0.5404 -0.2741 1.5245 -1.4811 -1.3939 0.0334 -1.3546 -1.3619 -0.9213 -1.0346 -1.3359 -1.5534 0.1057 -1.0548 -0.2190 -1.3950 -1.3954 0.5864 0.4983 eV per atom.
Final energy across the listed records, respectively: -6.11 -5.87 -5.16 -5.08 -5.95 -6.72 -6.15 -6.69 -6.69 -5.83 -6.96 -7.27 -6.32 -6.50 -6.56 -4.75 -6.73 -6.29 -5.59 -4.39 eV/atom.